[1]
{"formula": "Sc2VZn", "functional": "PBE", "state": "optimized geometry", "lattice": [[-2.0083, 2.0083, 9.7993], [2.0083, -2.0083, 9.7993], [2.0083, 2.0083, -9.7993]], "species": ["Sc", "Sc", "Sc", "Sc", "V", "V", "Zn", "Zn"], "fractional_positions": [[0.1238, 0.6250, 0.9988], [0.3750, 0.3738, 0.4988], [0.6262, 0.1250, 0.0012], [0.8750, 0.8762, 0.5012], [0.2500, 0.7500, 0.5000], [0.5000, 0.5000, 0.0000], [0.0000, 0.0000, 0.0000], [0.7500, 0.2500, 0.5000]], "energy_ev_per_cell": -42.0, "magmom_total_mub_per_cell": 3.50}

[2]
{"formula": "ScVZn", "functional": "PBE", "state": "optimized geometry", "lattice": [[4.5270, 0.0000, 0.0000], [0.0000, 1.9591, 5.7772], [0.0000, -1.9591, 5.7772]], "species": ["Sc", "Sc", "V", "V", "Zn", "Zn"], "fractional_positions": [[0.0000, 0.0000, 0.0000], [0.5000, 0.1809, 0.1809], [0.5000, 0.4820, 0.4820], [0.5000, 0.8505, 0.8505], [0.0000, 0.3301, 0.3301], [0.0000, 0.6829, 0.6829]], "energy_ev_per_cell": -33.5, "magmom_total_mub_per_cell": 0.04}

[3]
{"formula": "ScVZn", "functional": "PBE", "state": "optimized geometry", "lattice": [[4.7768, 0.0000, 0.0000], [0.0000, 3.1000, 0.0000], [-1.8662, 0.0000, 6.8726]], "species": ["Sc", "Sc", "V", "V", "Zn", "Zn"], "fractional_positions": [[0.0000, 0.0000, 0.0000], [0.3891, 0.0000, 0.7033], [0.7648, 0.0000, 0.3670], [0.8598, 0.5000, 0.6276], [0.2597, 0.5000, 0.3607], [0.5158, 0.5000, 0.0554]], "energy_ev_per_cell": -33.6, "magmom_total_mub_per_cell": 0.00}

[4]
{"formula": "ScVZn", "functional": "PBE", "state": "optimized geometry", "lattice": [[-2.2302, 3.1834, 3.7415], [2.2302, -3.1834, 3.7415], [2.2302, 3.1834, -3.7415]], "species": ["Sc", "Sc", "V", "V", "Zn", "Zn"], "fractional_positions": [[0.0000, 0.0000, 0.0000], [0.5950, 0.0950, 0.5000], [0.0553, 0.7169, 0.3384], [0.3784, 0.7169, 0.6616], [0.1787, 0.3855, 0.7932], [0.5923, 0.3855, 0.2068]], "energy_ev_per_cell": -33.2, "magmom_total_mub_per_cell": 0.00}

[5]
{"formula": "ZrSc3V", "functional": "PBE", "state": "optimized geometry", "lattice": [[4.8946, 0.0000, 0.0000], [0.0000, 4.8946, 0.0000], [0.0000, 0.0000, 4.8946]], "species": ["Zr", "Sc", "Sc", "Sc", "V"], "fractional_positions": [[0.0000, 0.0000, 0.0000], [0.0000, 0.5000, 0.5000], [0.5000, 0.0000, 0.5000], [0.5000, 0.5000, 0.0000], [0.5000, 0.5000, 0.5000]], "energy_ev_per_cell": -33.7, "magmom_total_mub_per_cell": 0.03}

[6]
{"formula": "ZrSc2V", "functional": "PBE", "state": "optimized geometry", "lattice": [[1.5316, 0.8843, 10.5244], [-1.5316, 0.8843, 10.5244], [0.0000, -1.7685, 10.5244]], "species": ["Zr", "Sc", "Sc", "V"], "fractional_positions": [[0.0000, 0.0000, 0.0000], [0.4162, 0.4162, 0.4162], [0.5838, 0.5838, 0.5838], [0.5000, 0.5000, 0.5000]], "energy_ev_per_cell": -28.6, "magmom_total_mub_per_cell": 1.48}

[7]
{"formula": "ZrSc2V", "functional": "PBE", "state": "optimized geometry", "lattice": [[0.0000, 3.4984, 3.4984], [3.4984, 0.0000, 3.4984], [3.4984, 3.4984, 0.0000]], "species": ["Zr", "Sc", "Sc", "V"], "fractional_positions": [[0.0000, 0.0000, 0.0000], [0.2500, 0.2500, 0.2500], [0.7500, 0.7500, 0.7500], [0.5000, 0.5000, 0.5000]], "energy_ev_per_cell": -29.3, "magmom_total_mub_per_cell": 1.84}

[8]
{"formula": "ZrSc2V", "functional": "PBE", "state": "optimized geometry", "lattice": [[-3.8630, 3.8630, 2.9335], [3.8630, -3.8630, 2.9335], [3.8630, 3.8630, -2.9335]], "species": ["Zr", "Zr", "Sc", "Sc", "Sc", "Sc", "V", "V"], "fractional_positions": [[0.0000, 0.0000, 0.0000], [0.7500, 0.2500, 0.5000], [0.1592, 0.6250, 0.0342], [0.3750, 0.4092, 0.5342], [0.5908, 0.1250, 0.9658], [0.8750, 0.8408, 0.4658], [0.2500, 0.7500, 0.5000], [0.5000, 0.5000, 0.0000]], "energy_ev_per_cell": -56.4, "magmom_total_mub_per_cell": 3.64}

[9]
{"formula": "Zr2Sc2V", "functional": "PBE", "state": "optimized geometry", "lattice": [[6.8104, 0.0000, 0.0000], [0.0000, 6.8104, 0.0000], [0.0000, 0.0000, 4.8400]], "species": ["Zr", "Zr", "Zr", "Zr", "Sc", "Sc", "Sc", "Sc", "V", "V"], "fractional_positions": [[0.1479, 0.3521, 0.0000], [0.3521, 0.8521, 0.0000], [0.6479, 0.1479, 0.0000], [0.8521, 0.6479, 0.0000], [0.1652, 0.6652, 0.5000], [0.3348, 0.1652, 0.5000], [0.6652, 0.8348, 0.5000], [0.8348, 0.3348, 0.5000], [0.0000, 0.0000, 0.0000], [0.5000, 0.5000, 0.0000]], "energy_ev_per_cell": -74.4, "magmom_total_mub_per_cell": 2.91}

[10]
{"formula": "Zr2ScV2", "functional": "PBE", "state": "optimized geometry", "lattice": [[7.4893, 0.0000, 0.0000], [0.0000, 7.4893, 0.0000], [0.0000, 0.0000, 3.5291]], "species": ["Zr", "Zr", "Zr", "Zr", "Sc", "Sc", "V", "V", "V", "V"], "fractional_positions": [[0.1743, 0.3257, 0.0000], [0.3257, 0.8257, 0.0000], [0.6743, 0.1743, 0.0000], [0.8257, 0.6743, 0.0000], [0.0000, 0.0000, 0.5000], [0.5000, 0.5000, 0.5000], [0.1156, 0.6156, 0.5000], [0.3844, 0.1156, 0.5000], [0.6156, 0.8844, 0.5000], [0.8844, 0.3844, 0.5000]], "energy_ev_per_cell": -81.7, "magmom_total_mub_per_cell": 0.00}

[11]
{"formula": "ScW2", "functional": "PBE", "state": "optimized geometry", "lattice": [[-1.8107, 1.8107, 8.9538], [1.8107, -1.8107, 8.9538], [1.8107, 1.8107, -8.9538]], "species": ["Sc", "Sc", "W", "W", "W", "W"], "fractional_positions": [[0.3750, 0.6250, 0.7500], [0.6250, 0.3750, 0.2500], [0.0478, 0.7978, 0.2500], [0.2022, 0.9522, 0.2500], [0.7978, 0.0478, 0.7500], [0.9522, 0.2022, 0.7500]], "energy_ev_per_cell": -59.4, "magmom_total_mub_per_cell": 0.00}

[12]
{"formula": "ScW2", "functional": "PBE", "state": "optimized geometry", "lattice": [[1.3495, -8.2460, 0.0000], [1.3495, 8.2460, 0.0000], [0.0000, 0.0000, 4.7313]], "species": ["Sc", "Sc", "W", "W", "W", "W"], "fractional_positions": [[0.1197, 0.8803, 0.7500], [0.8803, 0.1197, 0.2500], [0.2122, 0.7878, 0.2500], [0.4564, 0.5436, 0.7500], [0.5436, 0.4564, 0.2500], [0.7878, 0.2122, 0.7500]], "energy_ev_per_cell": -62.1, "magmom_total_mub_per_cell": 0.00}